# 1
Ac2SmAu | PBE | optimized geometry

The space group is P4/mmm (No. 123) and the conventional cell measures 3.916, 3.916 and 9.134 Å, with angles of 90.00, 90.00 and 90.00 degrees. The inequivalent atoms are Ac at (0.000, 0.000, 0.211), Sm at (0.500, 0.500, 0.500) and Au at (0.500, 0.500, 0.000).

The crystal system is tetragonal. The value obtained for the calculated density is 9.50 Mg/m³. The value obtained for the distance to the lowest polymorph of the same formula is 0.0 kJ per mole of atoms.

---

# 2
Tb2ZrTaN4 | PBE | optimized geometry

The space group is P2/m (No. 10) and the conventional cell measures 5.720, 3.295 and 5.807 Å, with angles of 90.00, 109.08 and 90.00 degrees. The inequivalent atoms are Tb at (0.000, 0.000, 0.000), Tb at (0.500, 0.500, 0.000), Zr at (0.000, 0.500, 0.500), Ta at (0.500, 0.000, 0.500), N at (0.250, 0.000, 0.726) and N at (0.268, 0.500, 0.278).

The crystal system is monoclinic. The value obtained for the calculated density is 10.37 Mg/m³. The raw formation energy is -1.530 eV per atom.

---

# 3
Ba2SrAg | PBE | optimized geometry

The space group is Pnma (No. 62) and the conventional cell measures 8.694, 11.363 and 7.698 Å, with angles of 90.00, 90.00 and 90.00 degrees. The inequivalent atoms are Ba at (0.181, 0.065, 0.165), Sr at (0.038, 0.250, 0.652) and Ag at (0.123, 0.750, 0.959).

The crystal system is orthorhombic. The value obtained for the calculated density is 4.11 Mg/m³. The value obtained for the distance to the lowest polymorph of the same formula is 0.0 kJ per mole of atoms.

---

# 4
TaOsF2 | PBE | optimized geometry

The space group is I-42d (No. 122) and the conventional cell measures 3.679, 3.679 and 16.040 Å, with angles of 90.00, 90.00 and 90.00 degrees. The inequivalent atoms are Ta at (0.000, 0.000, 0.000), Os at (0.000, 0.000, 0.500) and F at (0.221, 0.250, 0.125).

The crystal system is tetragonal. The value obtained for the calculated density is 12.52 Mg/m³. The value obtained for the distance to the lowest polymorph of the same formula is 28.8 kJ per mole of atoms. The raw formation energy is -0.507 eV per atom.

---

# 5
Nd14YZr | PBE | optimized geometry

The space group is Amm2 (No. 38) and the conventional cell measures 10.286, 10.303 and 10.300 Å, with angles of 90.00, 90.00 and 90.00 degrees. The inequivalent atoms are Nd at (0.000, 0.000, 0.000), Nd at (0.000, 0.000, 0.499), Nd at (0.000, 0.250, 0.250), Nd at (0.257, 0.000, 0.255), Nd at (0.257, 0.000, 0.744), Nd at (0.257, 0.245, 0.500), Nd at (0.500, 0.250, 0.250), Y at (0.500, 0.000, 0.999) and Zr at (0.500, 0.000, 0.500).

The crystal system is orthorhombic. The value obtained for the calculated density is 6.69 Mg/m³. For the uncorrected energy, the calculation gives -162.035 eV per cell.

---

# 6
CuHgGe2 | PBE | optimized geometry

The space group is R-3m (No. 166, hexagonal axes) and the conventional cell measures 3.2349, 3.2349 and 26.4584 Å, with angles of 90.00, 90.00 and 120.00 degrees. The inequivalent atoms are Cu at (0.0000, 0.0000, 0.0000), Hg at (0.0000, 0.0000, 0.5000) and Ge at (0.0000, 0.0000, 0.3976).

The crystal system is trigonal. The value obtained for the calculated density is 8.51 Mg/m³. For the uncorrected energy, the calculation gives -38.366 eV per cell.

---

Question: Number 6 is which compound?
Answer: CuHgGe2